Entry from the Open Quantum Materials Database: a geometry-optimized NdCdC2 structure (PBE).

Unit cell a=3.819 b=3.819 c=11.445 alpha=97.77 beta=97.77 gamma=79.37
Positions (direct):
Nd (0.167, 0.376, 0.539)
Nd (0.376, 0.167, 0.039)
C (0.796, 0.589, 0.138)
C (0.589, 0.796, 0.638)
C (0.795, 0.002, 0.613)
C (0.002, 0.795, 0.113)
Cd (0.483, 0.730, 0.313)
Cd (0.730, 0.483, 0.813)

Computed properties:
The calculation puts the total magnetization at 0.01 μB per formula unit.

---

Entry from the Open Quantum Materials Database: a geometry-optimized CdNi3C structure (PBE).

Unit cell a=3.864 b=3.864 c=3.864 alpha=90.00 beta=90.00 gamma=90.00
Positions (direct):
C (0.500, 0.500, 0.500)
Ni (0.000, 0.500, 0.500)
Ni (0.500, 0.500, 0.000)
Ni (0.500, 0.000, 0.500)
Cd (0.000, 0.000, 0.000)

Computed properties:
The calculation puts the total magnetization at 0.01 μB per formula unit.

---

Entry from the Open Quantum Materials Database: a geometry-optimized CdNi4C2S structure (PBE).

Unit cell a=3.062 b=3.062 c=11.503 alpha=90.00 beta=90.00 gamma=120.00
Positions (direct):
C (0.667, 0.333, 0.737)
C (0.667, 0.333, 0.263)
Cd (0.333, 0.667, 0.000)
Ni (0.000, 0.000, 0.808)
Ni (0.333, 0.667, 0.651)
Ni (0.333, 0.667, 0.349)
Ni (0.000, 0.000, 0.192)
S (0.000, 0.000, 0.500)

Computed properties:
The calculation puts the total magnetization at 0.00 μB per formula unit.

---

Entry from the Open Quantum Materials Database: a geometry-optimized Sc4CdNiC2 structure (PBE).

Unit cell a=3.329 b=3.329 c=14.089 alpha=90.00 beta=90.00 gamma=120.00
Positions (direct):
Sc (0.333, 0.667, 0.309)
Sc (0.000, 0.000, 0.866)
Sc (0.000, 0.000, 0.134)
Sc (0.333, 0.667, 0.691)
C (0.667, 0.333, 0.775)
C (0.667, 0.333, 0.225)
Ni (0.333, 0.667, 0.000)
Cd (0.000, 0.000, 0.500)

Computed properties:
The calculation puts the total magnetization at 0.62 μB per formula unit.

---

Entry from the Open Quantum Materials Database: a geometry-optimized Ta4CdNiC2 structure (PBE).

Unit cell a=3.114 b=3.114 c=13.871 alpha=90.00 beta=90.00 gamma=120.00
Positions (direct):
Ta (0.000, 0.000, 0.645)
Ta (0.667, 0.333, 0.822)
Ta (0.667, 0.333, 0.178)
Ta (0.000, 0.000, 0.355)
C (0.333, 0.667, 0.735)
C (0.333, 0.667, 0.265)
Cd (0.000, 0.000, 0.000)
Ni (0.667, 0.333, 0.500)

Computed properties:
The calculation puts the total magnetization at 0.01 μB per formula unit.

---

Entry from the Open Quantum Materials Database: a geometry-optimized CdNiW4C2 structure (PBE).

Unit cell a=3.068 b=3.068 c=13.466 alpha=90.00 beta=90.00 gamma=120.00
Positions (direct):
C (0.333, 0.667, 0.267)
C (0.333, 0.667, 0.733)
W (0.000, 0.000, 0.355)
W (0.667, 0.333, 0.183)
W (0.000, 0.000, 0.645)
W (0.667, 0.333, 0.817)
Ni (0.667, 0.333, 0.500)
Cd (0.000, 0.000, 0.000)

Computed properties:
The calculation puts the total magnetization at 0.02 μB per formula unit.

---

Entry from the Open Quantum Materials Database: a geometry-optimized Zr4CdNiC2 structure (PBE).

Unit cell a=3.325 b=3.325 c=14.167 alpha=90.00 beta=90.00 gamma=120.00
Positions (direct):
C (0.333, 0.667, 0.731)
C (0.333, 0.667, 0.269)
Ni (0.667, 0.333, 0.500)
Zr (0.667, 0.333, 0.818)
Zr (0.667, 0.333, 0.182)
Zr (0.000, 0.000, 0.365)
Zr (0.000, 0.000, 0.635)
Cd (0.000, 0.000, 0.000)

Computed properties:
The calculation puts the total magnetization at 0.22 μB per formula unit.

---

Entry from the Open Quantum Materials Database: a geometry-optimized Zr4CdNiC2 structure (PBE).

Unit cell a=3.337 b=3.337 c=14.176 alpha=90.00 beta=90.00 gamma=120.00
Positions (direct):
Ni (0.667, 0.333, 0.000)
Zr (0.333, 0.667, 0.136)
Zr (0.667, 0.333, 0.681)
Zr (0.333, 0.667, 0.864)
Zr (0.667, 0.333, 0.319)
C (0.000, 0.000, 0.232)
C (0.000, 0.000, 0.768)
Cd (0.333, 0.667, 0.500)

Computed properties:
The calculation puts the total magnetization at 0.18 μB per formula unit.

---

Entry from the Open Quantum Materials Database: a geometry-optimized CdCO3 structure (PBE).

Unit cell a=3.953 b=3.953 c=3.552 alpha=95.97 beta=95.97 gamma=77.89
Positions (direct):
O (0.860, 0.311, 0.041)
O (0.311, 0.860, 0.041)
O (0.863, 0.863, 0.602)
Cd (0.471, 0.471, 0.498)
C (0.004, 0.004, 0.903)

---

Entry from the Open Quantum Materials Database: a geometry-optimized Sc2CdOsC structure (PBE).

Unit cell a=4.634 b=4.634 c=3.915 alpha=90.00 beta=90.00 gamma=90.00
Positions (direct):
Sc (0.000, 0.500, 0.000)
Sc (0.500, 0.000, 0.000)
Os (0.000, 0.000, 0.500)
C (0.000, 0.000, 0.000)
Cd (0.500, 0.500, 0.500)

Computed properties:
The calculation puts the total magnetization at 0.01 μB per formula unit.

---

Entry from the Open Quantum Materials Database: a geometry-optimized Ta4CdPC2 structure (PBE).

Unit cell a=3.239 b=3.239 c=12.976 alpha=90.00 beta=90.00 gamma=120.00
Positions (direct):
C (0.000, 0.000, 0.771)
C (0.000, 0.000, 0.229)
P (0.667, 0.333, 0.000)
Cd (0.333, 0.667, 0.500)
Ta (0.667, 0.333, 0.687)
Ta (0.333, 0.667, 0.133)
Ta (0.667, 0.333, 0.313)
Ta (0.333, 0.667, 0.867)

Computed properties:
The calculation puts the total magnetization at 0.01 μB per formula unit.

---

Entry from the Open Quantum Materials Database: a geometry-optimized Ta4CdPC2 structure (PBE).

Unit cell a=3.239 b=3.239 c=12.976 alpha=90.00 beta=90.00 gamma=120.00
Positions (direct):
C (0.333, 0.667, 0.729)
C (0.333, 0.667, 0.271)
Ta (0.000, 0.000, 0.633)
Ta (0.667, 0.333, 0.813)
Ta (0.000, 0.000, 0.367)
Ta (0.667, 0.333, 0.187)
Cd (0.000, 0.000, 0.000)
P (0.667, 0.333, 0.500)

Computed properties:
The calculation puts the total magnetization at 0.01 μB per formula unit.

---

no.,E (eV/atom)
1,-5.779
2,-5.353
3,-5.383
4,-6.663
5,-9.382
6,-9.399
7,-7.884
8,-7.884
9,-6.150
10,-7.251
11,-9.570
12,-9.570